# AlGePb PBE relaxed
data_AlGePb
_cell_length_a 4.216
_cell_length_b 4.216
_cell_length_c 7.841
_cell_angle_alpha 90.00
_cell_angle_beta 90.00
_cell_angle_gamma 90.00
_symmetry_space_group_name_H-M 'P 4/n m m'
_symmetry_Int_Tables_number 129
loop_
_symmetry_equiv_pos_as_xyz
'x,y,z'
'-x,-y,-z'
'-y+1/2,x,z'
'y+1/2,-x,-z'
'-x+1/2,-y+1/2,z'
'x+1/2,y+1/2,-z'
'y,-x+1/2,z'
'-y,x+1/2,-z'
'x+1/2,-y,-z'
'-x+1/2,y,z'
'-y,-x,-z'
'y,x,z'
'-x,y+1/2,-z'
'x,-y+1/2,z'
'y+1/2,x+1/2,-z'
'-y+1/2,-x+1/2,z'
loop_
_atom_site_label
_atom_site_fract_x
_atom_site_fract_y
_atom_site_fract_z
_atom_site_occupancy
Al1 0.250 0.750 0.000 1
Ge1 0.250 0.250 0.206 1
Pb1 0.250 0.250 0.619 1
# Spin magnetization, μB per cell: 0.00
# E_form, eV/atom: 0.0895
# Energy, eV per atom: -3.9332

# LaTbGaSi PBE relaxed
data_LaTbGaSi
_cell_length_a 4.043
_cell_length_b 4.429
_cell_length_c 11.192
_cell_angle_alpha 90.00
_cell_angle_beta 90.00
_cell_angle_gamma 90.00
_symmetry_space_group_name_H-M 'A m m 2'
_symmetry_Int_Tables_number 38
_symmetry_space_group_name_Hall 'A 2 -2'
loop_
_atom_site_label
_atom_site_fract_x
_atom_site_fract_y
_atom_site_fract_z
_atom_site_occupancy
La1 0.000 0.000 0.000 1
Tb1 0.500 0.000 0.281 1
Ga1 0.500 0.000 0.577 1
Si1 0.000 0.000 0.719 1
# Spin magnetization, μB per cell: 0.42
# Energy above the most stable polymorph in this dataset, meV per atom: 0.0
# Energy, eV per atom: -5.2018
# Uncorrected formation energy, meV/atom: -700

# PrSmDySc PBE relaxed
data_PrSmDySc
_cell_length_a 7.955
_cell_length_b 7.955
_cell_length_c 7.955
_cell_angle_alpha 90.00
_cell_angle_beta 90.00
_cell_angle_gamma 90.00
_symmetry_space_group_name_H-M 'F -4 3 m'
_symmetry_Int_Tables_number 216
_symmetry_space_group_name_Hall 'F -4 2 3'
loop_
_atom_site_label
_atom_site_fract_x
_atom_site_fract_y
_atom_site_fract_z
_atom_site_occupancy
Pr1 0.000 0.000 0.000 1
Sm1 0.000 0.000 0.500 1
Dy1 0.250 0.250 0.750 1
Sc1 0.250 0.250 0.250 1
# Spin magnetization, μB per cell: 0.01
# E_form, eV/atom: 0.1061
# Energy above the most stable polymorph in this dataset, meV per atom: 0.0
# Energy, eV per atom: -5.0019

# Tb7Ho2Tl2 PBE relaxed
data_Tb7Ho2Tl2
_cell_length_a 3.642
_cell_length_b 19.885
_cell_length_c 9.686
_cell_angle_alpha 90.00
_cell_angle_beta 90.00
_cell_angle_gamma 90.00
_symmetry_space_group_name_H-M 'I m m 2'
_symmetry_Int_Tables_number 44
_symmetry_space_group_name_Hall 'I 2 -2'
loop_
_atom_site_label
_atom_site_fract_x
_atom_site_fract_y
_atom_site_fract_z
_atom_site_occupancy
Tb1 0.000 0.000 0.000 1
Tb2 0.000 0.131 0.466 1
Tb3 0.000 0.340 0.659 1
Tb4 0.000 0.367 0.287 1
Ho1 0.000 0.000 0.652 1
Ho2 0.000 0.500 0.823 1
Tl1 0.000 0.243 0.946 1
# Spin magnetization, μB per cell: 0.02
# E_form, eV/atom: -0.0232
# Energy, eV per atom: -4.2323

# Pm15Tm4Sc PBE relaxed
data_Pm15Tm4Sc
_cell_length_a 5.093
_cell_length_b 5.093
_cell_length_c 25.370
_cell_angle_alpha 90.00
_cell_angle_beta 90.00
_cell_angle_gamma 90.00
_symmetry_space_group_name_H-M 'P 4/m m m'
_symmetry_Int_Tables_number 123
_symmetry_space_group_name_Hall '-P 4 2'
loop_
_atom_site_label
_atom_site_fract_x
_atom_site_fract_y
_atom_site_fract_z
_atom_site_occupancy
Pm1 0.000 0.000 0.000 1
Pm2 0.000 0.000 0.198 1
Pm3 0.000 0.000 0.399 1
Pm4 0.000 0.500 0.098 1
Pm5 0.000 0.500 0.299 1
Pm6 0.000 0.500 0.500 1
Tm1 0.500 0.500 0.198 1
Tm2 0.500 0.500 0.399 1
Sc1 0.500 0.500 0.000 1
# Spin magnetization, μB per cell: 0.00
# E_form, eV/atom: 0.0163
# Energy, eV per atom: -4.7575

# Pu2ScPa PBE relaxed
data_Pu2ScPa
_cell_length_a 5.1451
_cell_length_b 5.1451
_cell_length_c 12.9318
_cell_angle_alpha 90.00
_cell_angle_beta 90.00
_cell_angle_gamma 120.00
_symmetry_space_group_name_H-M 'R 3 m'
_symmetry_Int_Tables_number 160
_symmetry_space_group_name_Hall 'R 3 -2"'
loop_
_atom_site_label
_atom_site_fract_x
_atom_site_fract_y
_atom_site_fract_z
_atom_site_occupancy
Pu1 0.0000 0.0000 0.0000 1
Pu2 0.0000 0.0000 0.3010 1
Sc1 0.0000 0.0000 0.7560 1
Pa1 0.0000 0.0000 0.5118 1
# Spin magnetization, μB per cell: 31.98
# E_form, eV/atom: 0.2598
# Energy above the most stable polymorph in this dataset, meV per atom: 155.0
# Energy, eV per atom: -10.8630

# Li5Tl4Ag PBE relaxed
data_Li5Tl4Ag
_cell_length_a 3.336
_cell_length_b 3.336
_cell_length_c 17.974
_cell_angle_alpha 90.00
_cell_angle_beta 90.00
_cell_angle_gamma 90.00
_symmetry_space_group_name_H-M 'P 4/m m m'
_symmetry_Int_Tables_number 123
_symmetry_space_group_name_Hall '-P 4 2'
loop_
_atom_site_label
_atom_site_fract_x
_atom_site_fract_y
_atom_site_fract_z
_atom_site_occupancy
Li1 0.000 0.000 0.000 1
Li2 0.000 0.000 0.211 1
Li3 0.000 0.000 0.419 1
Tl1 0.500 0.500 0.105 1
Tl2 0.500 0.500 0.318 1
Ag1 0.500 0.500 0.500 1
# Spin magnetization, μB per cell: 0.00
# E_form, eV/atom: -0.2222
# Energy, eV per atom: -2.4107

# KLiPt PBE relaxed
data_KLiPt
_cell_length_a 3.1298
_cell_length_b 3.1298
_cell_length_c 7.9214
_cell_angle_alpha 90.00
_cell_angle_beta 90.00
_cell_angle_gamma 120.00
_symmetry_space_group_name_H-M 'P 3 m 1'
_symmetry_Int_Tables_number 156
_symmetry_space_group_name_Hall 'P 3 -2"'
loop_
_atom_site_label
_atom_site_fract_x
_atom_site_fract_y
_atom_site_fract_z
_atom_site_occupancy
K1 0.0000 0.0000 0.0000 1
Li1 0.6667 0.3333 0.4480 1
Pt1 0.3333 0.6667 0.6785 1
# Spin magnetization, μB per cell: 0.00
# E_form, eV/atom: 0.1293
# Energy above the most stable polymorph in this dataset, meV per atom: 305.1
# Energy, eV per atom: -2.8881

The following Fermi-level density of states values (in states/eV per atom) correspond, in order, to the records above: 0.330; 0.731; 1.626; 1.443; 1.263; 3.625; 0.263; 0.298.